Th7Tl2Tc2: relaxed, PBE-GGA.

Values from the calculation:
- Uncorrected energy: -7.145 eV per atom
- Total magnetic moment: 0.000 μB per formula unit
- Calculated formation energy: -0.108 eV/atom

Cell: 3.8051 16.5979 10.1868 Å, 90.00 90.00 90.00°
Space group Imm2 (No. 44)
Symmetry-distinct sites (fractional):
Th: 0.0000 0.0000 0.0000
Th: 0.0000 0.1434 0.4429
Th: 0.0000 0.3235 0.6444
Th: 0.0000 0.3420 0.2731
Tl: 0.0000 0.0000 0.6722
Tl: 0.0000 0.5000 0.7899
Tc: 0.0000 0.2234 0.9547



Rb3Te: relaxed, PBE-GGA.

Values from the calculation:
- Uncorrected energy: -2.084 eV per atom
- Total magnetic moment: 0.689 μB per formula unit
- E above lowest polymorph: 0.066 eV per atom
- E_form (uncorrected): -0.5730 eV/atom

Cell: 5.7792 5.7792 5.7792 Å, 90.00 90.00 90.00°
Space group Pm-3m (No. 221)
Symmetry-distinct sites (fractional):
Rb: 0.0000 0.0000 0.5000
Te: 0.5000 0.5000 0.5000